# Ge2AuS

An optimized crystal structure of Ge2AuS (PBE, the Alexandria database).

CIF file:
```
data_Ge2AuS
_cell_length_a 5.925
_cell_length_b 5.925
_cell_length_c 11.290
_cell_angle_alpha 90.00
_cell_angle_beta 90.00
_cell_angle_gamma 90.00
_symmetry_space_group_name_H-M 'I -4 2 d'
_symmetry_Int_Tables_number 122
_symmetry_space_group_name_Hall 'I -4 2bw'
loop_
_atom_site_label
_atom_site_type_symbol
_atom_site_fract_x
_atom_site_fract_y
_atom_site_fract_z
_atom_site_occupancy
Ge1 Ge 0.249 0.250 0.125 1
Au1 Au 0.000 0.000 0.500 1
S1 S 0.000 0.000 0.000 1
```

***

# Th4GeAuS2

An optimized crystal structure of Th4GeAuS2 (PBE, the Alexandria database).

CIF file:
```
data_Th4GeAuS2
_cell_length_a 7.145
_cell_length_b 4.193
_cell_length_c 7.388
_cell_angle_alpha 90.00
_cell_angle_beta 109.56
_cell_angle_gamma 90.00
_symmetry_space_group_name_H-M 'P 1 2/m 1'
_symmetry_Int_Tables_number 10
loop_
_symmetry_equiv_pos_as_xyz
'x,y,z'
'-x,-y,-z'
'-x,y,-z'
'x,-y,z'
loop_
_atom_site_label
_atom_site_type_symbol
_atom_site_fract_x
_atom_site_fract_y
_atom_site_fract_z
_atom_site_occupancy
Th1 Th 0.237 0.000 0.241 1
Th2 Th 0.239 0.500 0.753 1
Ge1 Ge 0.500 0.000 0.000 1
Au1 Au 0.500 0.500 0.500 1
S1 S 0.000 0.000 0.500 1
S2 S 0.000 0.500 0.000 1
```

***

# TlGeAu2S4

An optimized crystal structure of TlGeAu2S4 (PBE, the Alexandria database).

CIF file:
```
data_TlGeAu2S4
_cell_length_a 6.555
_cell_length_b 7.150
_cell_length_c 8.409
_cell_angle_alpha 90.00
_cell_angle_beta 90.00
_cell_angle_gamma 90.00
_symmetry_space_group_name_H-M 'I 2 2 2'
_symmetry_Int_Tables_number 23
loop_
_symmetry_equiv_pos_as_xyz
'x,y,z'
'-x,-y,z'
'x,-y,-z'
'-x,y,-z'
'x+1/2,y+1/2,z+1/2'
'-x+1/2,-y+1/2,z+1/2'
'x+1/2,-y+1/2,-z+1/2'
'-x+1/2,y+1/2,-z+1/2'
loop_
_atom_site_label
_atom_site_type_symbol
_atom_site_fract_x
_atom_site_fract_y
_atom_site_fract_z
_atom_site_occupancy
Tl1 Tl 0.000 0.000 0.000 1
Ge1 Ge 0.000 0.000 0.500 1
Au1 Au 0.000 0.500 0.169 1
S1 S 0.199 0.183 0.346 1
```

***

# TlGeAuS2

An optimized crystal structure of TlGeAuS2 (PBE, the Alexandria database).

CIF file:
```
data_TlGeAuS2
_cell_length_a 5.112
_cell_length_b 5.112
_cell_length_c 4.906
_cell_angle_alpha 90.00
_cell_angle_beta 90.00
_cell_angle_gamma 90.00
_symmetry_space_group_name_H-M 'P 4/m m m'
_symmetry_Int_Tables_number 123
_symmetry_space_group_name_Hall '-P 4 2'
loop_
_atom_site_label
_atom_site_type_symbol
_atom_site_fract_x
_atom_site_fract_y
_atom_site_fract_z
_atom_site_occupancy
Tl1 Tl 0.000 0.000 0.000 1
Ge1 Ge 0.500 0.500 0.000 1
Au1 Au 0.500 0.500 0.500 1
S1 S 0.000 0.500 0.500 1
```

***

# UGeAuS

An optimized crystal structure of UGeAuS (PBE, the Alexandria database).

CIF file:
```
data_UGeAuS
_cell_length_a 4.363
_cell_length_b 4.363
_cell_length_c 8.375
_cell_angle_alpha 90.00
_cell_angle_beta 90.00
_cell_angle_gamma 90.00
_symmetry_space_group_name_H-M 'P 4/n m m'
_symmetry_Int_Tables_number 129
loop_
_symmetry_equiv_pos_as_xyz
'x,y,z'
'-x,-y,-z'
'-y+1/2,x,z'
'y+1/2,-x,-z'
'-x+1/2,-y+1/2,z'
'x+1/2,y+1/2,-z'
'y,-x+1/2,z'
'-y,x+1/2,-z'
'x+1/2,-y,-z'
'-x+1/2,y,z'
'-y,-x,-z'
'y,x,z'
'-x,y+1/2,-z'
'x,-y+1/2,z'
'y+1/2,x+1/2,-z'
'-y+1/2,-x+1/2,z'
loop_
_atom_site_label
_atom_site_type_symbol
_atom_site_fract_x
_atom_site_fract_y
_atom_site_fract_z
_atom_site_occupancy
U1 U 0.250 0.250 0.193 1
Ge1 Ge 0.250 0.250 0.688 1
Au1 Au 0.250 0.750 0.500 1
S1 S 0.250 0.750 0.000 1
```

***

# Ge2SbAu6

An optimized crystal structure of Ge2SbAu6 (PBE, the Alexandria database).

CIF file:
```
data_Ge2SbAu6
_cell_length_a 11.726
_cell_length_b 3.826
_cell_length_c 8.416
_cell_angle_alpha 90.00
_cell_angle_beta 100.42
_cell_angle_gamma 90.00
_symmetry_space_group_name_H-M 'C 1 2/m 1'
_symmetry_Int_Tables_number 12
loop_
_symmetry_equiv_pos_as_xyz
'x,y,z'
'-x,-y,-z'
'-x,y,-z'
'x,-y,z'
'x+1/2,y+1/2,z'
'-x+1/2,-y+1/2,-z'
'-x+1/2,y+1/2,-z'
'x+1/2,-y+1/2,z'
loop_
_atom_site_label
_atom_site_type_symbol
_atom_site_fract_x
_atom_site_fract_y
_atom_site_fract_z
_atom_site_occupancy
Ge1 Ge 0.139 0.000 0.382 1
Sb1 Sb 0.000 0.500 0.000 1
Au1 Au 0.019 0.500 0.670 1
Au2 Au 0.181 0.000 0.064 1
Au3 Au 0.202 0.000 0.699 1
```

***

# GeSb2Au3 (PBE, relaxed)
# Energy above the lowest structure with this stoichiometry: 25 meV/atom
data_GeSb2Au3
_cell_length_a 12.940
_cell_length_b 7.710
_cell_length_c 5.697
_cell_angle_alpha 90.00
_cell_angle_beta 90.39
_cell_angle_gamma 90.00
_symmetry_space_group_name_H-M 'C 1 2/c 1'
_symmetry_Int_Tables_number 15
loop_
_symmetry_equiv_pos_as_xyz
'x,y,z'
'-x,-y,-z'
'-x,y,-z+1/2'
'x,-y,z+1/2'
'x+1/2,y+1/2,z'
'-x+1/2,-y+1/2,-z'
'-x+1/2,y+1/2,-z+1/2'
'x+1/2,-y+1/2,z+1/2'
loop_
_atom_site_label
_atom_site_type_symbol
_atom_site_fract_x
_atom_site_fract_y
_atom_site_fract_z
_atom_site_occupancy
Ge1 Ge 0.000 0.141 0.250 1
Sb1 Sb 0.174 0.330 0.747 1
Au1 Au 0.000 0.468 0.250 1
Au2 Au 0.156 0.002 0.001 1

***

# Ge5Sb3Au12

An optimized crystal structure of Ge5Sb3Au12 (PBE, the Alexandria database).

CIF file:
```
data_Ge5Sb3Au12
_cell_length_a 15.574
_cell_length_b 15.574
_cell_length_c 15.574
_cell_angle_alpha 90.00
_cell_angle_beta 90.00
_cell_angle_gamma 90.00
_symmetry_space_group_name_H-M 'I a -3 d'
_symmetry_Int_Tables_number 230
_symmetry_space_group_name_Hall '-I 4bd 2c 3'
loop_
_atom_site_label
_atom_site_type_symbol
_atom_site_fract_x
_atom_site_fract_y
_atom_site_fract_z
_atom_site_occupancy
Ge1 Ge 0.000 0.000 0.000 1
Ge2 Ge 0.000 0.250 0.375 1
Sb1 Sb 0.000 0.250 0.125 1
Au1 Au 0.021 0.073 0.650 1
```

***

# Ge2Sb2Au5 (PBE, relaxed)
# Energy above the lowest structure with this stoichiometry: 0 meV/atom
data_Ge2Sb2Au5
_cell_length_a 13.044
_cell_length_b 4.685
_cell_length_c 7.048
_cell_angle_alpha 90.00
_cell_angle_beta 106.19
_cell_angle_gamma 90.00
_symmetry_space_group_name_H-M 'C 1 2/m 1'
_symmetry_Int_Tables_number 12
loop_
_symmetry_equiv_pos_as_xyz
'x,y,z'
'-x,-y,-z'
'-x,y,-z'
'x,-y,z'
'x+1/2,y+1/2,z'
'-x+1/2,-y+1/2,-z'
'-x+1/2,y+1/2,-z'
'x+1/2,-y+1/2,z'
loop_
_atom_site_label
_atom_site_type_symbol
_atom_site_fract_x
_atom_site_fract_y
_atom_site_fract_z
_atom_site_occupancy
Ge1 Ge 0.182 0.000 0.359 1
Sb1 Sb 0.074 0.500 0.870 1
Au1 Au 0.000 0.000 0.500 1
Au2 Au 0.116 0.500 0.456 1
Au3 Au 0.181 0.000 0.988 1

***

# GeSb2Au2 (PBE, relaxed)
# Energy above the lowest structure with this stoichiometry: 163 meV/atom
data_GeSb2Au2
_cell_length_a 4.408
_cell_length_b 4.408
_cell_length_c 12.818
_cell_angle_alpha 90.00
_cell_angle_beta 90.00
_cell_angle_gamma 90.00
_symmetry_space_group_name_H-M 'I 4/m m m'
_symmetry_Int_Tables_number 139
_symmetry_space_group_name_Hall '-I 4 2'
loop_
_atom_site_label
_atom_site_type_symbol
_atom_site_fract_x
_atom_site_fract_y
_atom_site_fract_z
_atom_site_occupancy
Ge1 Ge 0.000 0.000 0.000 1
Sb1 Sb 0.000 0.500 0.250 1
Au1 Au 0.000 0.000 0.397 1

***

# Ge2SbAu2 (PBE, relaxed)
# Energy above the lowest structure with this stoichiometry: 88 meV/atom
data_Ge2SbAu2
_cell_length_a 4.489
_cell_length_b 4.489
_cell_length_c 10.716
_cell_angle_alpha 90.00
_cell_angle_beta 90.00
_cell_angle_gamma 90.00
_symmetry_space_group_name_H-M 'I 4/m m m'
_symmetry_Int_Tables_number 139
_symmetry_space_group_name_Hall '-I 4 2'
loop_
_atom_site_label
_atom_site_type_symbol
_atom_site_fract_x
_atom_site_fract_y
_atom_site_fract_z
_atom_site_occupancy
Ge1 Ge 0.000 0.000 0.117 1
Sb1 Sb 0.000 0.000 0.500 1
Au1 Au 0.000 0.500 0.250 1

***

# Ge2SbAu2 (PBE, relaxed)
# Energy above the lowest structure with this stoichiometry: 1 meV/atom
data_Ge2SbAu2
_cell_length_a 7.921
_cell_length_b 7.921
_cell_length_c 3.314
_cell_angle_alpha 90.00
_cell_angle_beta 90.00
_cell_angle_gamma 90.00
_symmetry_space_group_name_H-M 'P 4/m b m'
_symmetry_Int_Tables_number 127
_symmetry_space_group_name_Hall '-P 4 2ab'
loop_
_atom_site_label
_atom_site_type_symbol
_atom_site_fract_x
_atom_site_fract_y
_atom_site_fract_z
_atom_site_occupancy
Ge1 Ge 0.147 0.353 0.000 1
Sb1 Sb 0.000 0.000 0.500 1
Au1 Au 0.147 0.647 0.500 1

***

# GeSb2Au2 (PBE, relaxed)
# Energy above the lowest structure with this stoichiometry: 56 meV/atom
data_GeSb2Au2
_cell_length_a 8.165
_cell_length_b 8.165
_cell_length_c 3.508
_cell_angle_alpha 90.00
_cell_angle_beta 90.00
_cell_angle_gamma 90.00
_symmetry_space_group_name_H-M 'P 4/m b m'
_symmetry_Int_Tables_number 127
_symmetry_space_group_name_Hall '-P 4 2ab'
loop_
_atom_site_label
_atom_site_type_symbol
_atom_site_fract_x
_atom_site_fract_y
_atom_site_fract_z
_atom_site_occupancy
Ge1 Ge 0.000 0.000 0.000 1
Sb1 Sb 0.186 0.314 0.000 1
Au1 Au 0.121 0.621 0.500 1

***

# GeSbAu6

An optimized crystal structure of GeSbAu6 (PBE, the Alexandria database).

CIF file:
```
data_GeSbAu6
_cell_length_a 5.340
_cell_length_b 8.680
_cell_length_c 7.621
_cell_angle_alpha 90.00
_cell_angle_beta 108.03
_cell_angle_gamma 90.00
_symmetry_space_group_name_H-M 'C 1 2/m 1'
_symmetry_Int_Tables_number 12
loop_
_symmetry_equiv_pos_as_xyz
'x,y,z'
'-x,-y,-z'
'-x,y,-z'
'x,-y,z'
'x+1/2,y+1/2,z'
'-x+1/2,-y+1/2,-z'
'-x+1/2,y+1/2,-z'
'x+1/2,-y+1/2,z'
loop_
_atom_site_label
_atom_site_type_symbol
_atom_site_fract_x
_atom_site_fract_y
_atom_site_fract_z
_atom_site_occupancy
Ge1 Ge 0.000 0.000 0.000 1
Sb1 Sb 0.000 0.000 0.500 1
Au1 Au 0.106 0.500 0.692 1
Au2 Au 0.241 0.312 0.178 1
```

***

# GeSb2Au2 (PBE, relaxed)
# Energy above the lowest structure with this stoichiometry: 23 meV/atom
data_GeSb2Au2
_cell_length_a 3.886
_cell_length_b 3.886
_cell_length_c 15.586
_cell_angle_alpha 90.00
_cell_angle_beta 90.00
_cell_angle_gamma 90.00
_symmetry_space_group_name_H-M 'I 4/m m m'
_symmetry_Int_Tables_number 139
_symmetry_space_group_name_Hall '-I 4 2'
loop_
_atom_site_label
_atom_site_type_symbol
_atom_site_fract_x
_atom_site_fract_y
_atom_site_fract_z
_atom_site_occupancy
Ge1 Ge 0.000 0.000 0.000 1
Sb1 Sb 0.000 0.000 0.397 1
Au1 Au 0.000 0.500 0.250 1

***

# Ge2Sb3Au4

An optimized crystal structure of Ge2Sb3Au4 (PBE, the Alexandria database).

CIF file:
```
data_Ge2Sb3Au4
_cell_length_a 11.969
_cell_length_b 10.234
_cell_length_c 6.897
_cell_angle_alpha 90.00
_cell_angle_beta 96.73
_cell_angle_gamma 90.00
_symmetry_space_group_name_H-M 'C 1 2/c 1'
_symmetry_Int_Tables_number 15
loop_
_symmetry_equiv_pos_as_xyz
'x,y,z'
'-x,-y,-z'
'-x,y,-z+1/2'
'x,-y,z+1/2'
'x+1/2,y+1/2,z'
'-x+1/2,-y+1/2,-z'
'-x+1/2,y+1/2,-z+1/2'
'x+1/2,-y+1/2,z+1/2'
loop_
_atom_site_label
_atom_site_type_symbol
_atom_site_fract_x
_atom_site_fract_y
_atom_site_fract_z
_atom_site_occupancy
Ge1 Ge 0.204 0.132 0.097 1
Sb1 Sb 0.000 0.103 0.750 1
Sb2 Sb 0.119 0.375 0.367 1
Au1 Au 0.081 0.344 0.943 1
Au2 Au 0.147 0.104 0.448 1
```

***

# Ge3SbAu (PBE, relaxed)
# Energy above the lowest structure with this stoichiometry: 0 meV/atom
data_Ge3SbAu
_cell_length_a 5.051
_cell_length_b 5.051
_cell_length_c 5.051
_cell_angle_alpha 90.00
_cell_angle_beta 90.00
_cell_angle_gamma 90.00
_symmetry_space_group_name_H-M 'P m -3 m'
_symmetry_Int_Tables_number 221
_symmetry_space_group_name_Hall '-P 4 2 3'
loop_
_atom_site_label
_atom_site_type_symbol
_atom_site_fract_x
_atom_site_fract_y
_atom_site_fract_z
_atom_site_occupancy
Ge1 Ge 0.000 0.000 0.500 1
Sb1 Sb 0.500 0.500 0.500 1
Au1 Au 0.000 0.000 0.000 1

***

no.,total magnetization (μB per formula unit),formation energy from raw total energies (kJ/mol of atoms)
1,0.0,2.88
2,0.0,-117.57
3,0.0,-18.28
4,0.0,37.18
5,1.7,-56.34
6,0.0,3.37
7,0.0,3.06
8,0.0,13.25
9,0.0,2.23
10,0.0,29.20
11,0.0,19.60
12,0.0,11.19
13,0.0,18.89
14,0.0,9.28
15,0.0,15.65
16,0.0,3.63
17,0.0,52.67